VASP calculation (PBE) on an optimized crystal structure of GaSn2Pb6.

## Properties
Density ... 9.4 g cm⁻³
Formation energy from the elements ... 0.08 eV per atom

Cell and atoms, written as CIF:
```
data_GaSn2Pb6
_chemical_formula_sum 'Ga1 Sn2 Pb6'
_space_group_name_H-M_alt 'P 1'
_space_group_IT_number 1
_space_group_name_Hall 'P 1'
_cell_length_a 7.058
_cell_length_b 7.058
_cell_length_c 11.172
_cell_angle_alpha 116.63
_cell_angle_beta 116.63
_cell_angle_gamma 33.65
loop_
_atom_site_label
_atom_site_fract_x
_atom_site_fract_y
_atom_site_fract_z
Ga1 0.000 0.000 0.000
Sn1 0.392 0.392 0.796
Sn2 0.608 0.608 0.204
Pb1 0.024 0.024 0.682
Pb2 0.261 0.261 0.122
Pb3 0.323 0.323 0.450
Pb4 0.677 0.677 0.550
Pb5 0.739 0.739 0.878
Pb6 0.976 0.976 0.318
```


VASP calculation (PBE) on an optimized crystal structure of Ce2MgZn12Cu3.

## Properties
Density ... 5.4 g cm⁻³
Formation energy from the elements ... 0.28 eV per atom

Cell and atoms, written as CIF:
```
data_Ce2MgZn12Cu3
_chemical_formula_sum 'Ce2 Mg1 Zn12 Cu3'
_space_group_name_H-M_alt 'P 1'
_space_group_IT_number 1
_space_group_name_Hall 'P 1'
_cell_length_a 8.151
_cell_length_b 8.151
_cell_length_c 8.151
_cell_angle_alpha 60.97
_cell_angle_beta 60.97
_cell_angle_gamma 60.97
loop_
_atom_site_label
_atom_site_fract_x
_atom_site_fract_y
_atom_site_fract_z
Ce1 0.100 0.100 0.100
Ce2 0.900 0.900 0.900
Mg1 0.500 0.500 0.500
Zn1 0.081 0.641 0.641
Zn2 0.163 0.163 0.636
Zn3 0.163 0.636 0.163
Zn4 0.359 0.359 0.919
Zn5 0.359 0.919 0.359
Zn6 0.364 0.837 0.837
Zn7 0.636 0.163 0.163
Zn8 0.641 0.081 0.641
Zn9 0.641 0.641 0.081
Zn10 0.837 0.364 0.837
Zn11 0.837 0.837 0.364
Zn12 0.919 0.359 0.359
Cu1 0.000 0.500 0.500
Cu2 0.500 0.000 0.500
Cu3 0.500 0.500 0.000
```